A geometry-optimized RbPdBr3 structure. Source: the Alexandria database, functional PBE.

Unit cell a=4.120 b=4.120 c=10.005 alpha=90.00 beta=90.00 gamma=90.00
Element x y z (fractional)
1 Rb 0.000 0.000 0.000
2 Pd 0.500 0.500 0.694
3 Br 0.000 0.000 0.679
4 Br 0.000 0.500 0.268
5 Br 0.500 0.000 0.268

Calculated values
uncorrected energy	-12.211	eV per formula unit
Fermi-level density of states	2.2	states/eV/cell
uncorrected formation energy	-0.206	eV per atom
space-group type	P4mm, No. 99